## Sm2TmHg2 (PBE-GGA)

Data for an optimized crystal structure of Sm2TmHg2.

SG = Immm (71)
ΔE_f = -7.5 kcal/mol of atoms
DOS(E_F) = 5.3 states/eV/f.u.

Structure (CIF):
```
data_Sm2TmHg2
_chemical_formula_sum 'Sm2 Tm1 Hg2'
_space_group_name_H-M_alt 'P 1'
_space_group_IT_number 1
_cell_length_a 5.990
_cell_length_b 5.990
_cell_length_c 5.990
_cell_angle_alpha 132.72
_cell_angle_beta 108.98
_cell_angle_gamma 89.80
loop_
_space_group_symop_operation_xyz
'x,y,z'
loop_
_atom_site_label
_atom_site_fract_x
_atom_site_fract_y
_atom_site_fract_z
Sm1 0.195 0.195 0.000
Sm2 0.805 0.805 0.000
Tm1 0.500 0.000 0.500
Hg1 0.219 0.500 0.719
Hg2 0.781 0.500 0.281
```

***

## Sm4Tm2Hg (PBE-GGA)

Data for an optimized crystal structure of Sm4Tm2Hg.

SG = C2/m (12)
ΔE_f = -0.3 kcal/mol of atoms
DOS(E_F) = 9.0 states/eV/f.u.

Structure (CIF):
```
data_Sm4Tm2Hg
_chemical_formula_sum 'Sm4 Tm2 Hg1'
_space_group_name_H-M_alt 'P 1'
_space_group_IT_number 1
_cell_length_a 8.414
_cell_length_b 8.414
_cell_length_c 8.521
_cell_angle_alpha 116.98
_cell_angle_beta 116.98
_cell_angle_gamma 24.34
loop_
_space_group_symop_operation_xyz
'x,y,z'
loop_
_atom_site_label
_atom_site_fract_x
_atom_site_fract_y
_atom_site_fract_z
Sm1 0.084 0.084 0.204
Sm2 0.369 0.369 0.110
Sm3 0.631 0.631 0.890
Sm4 0.916 0.916 0.796
Tm1 0.216 0.216 0.638
Tm2 0.784 0.784 0.362
Hg1 0.000 0.000 0.500
```

***

## Sm5TmHg3 (PBE-GGA)

Data for an optimized crystal structure of Sm5TmHg3.

SG = P6_3/mcm (193)
ΔE_f = -6.8 kcal/mol of atoms
DOS(E_F) = 6.9 states/eV/f.u.

Structure (CIF):
```
data_Sm5TmHg3
_chemical_formula_sum 'Sm10 Tm2 Hg6'
_space_group_name_H-M_alt 'P 1'
_space_group_IT_number 1
_cell_length_a 9.253
_cell_length_b 9.253
_cell_length_c 6.962
_cell_angle_alpha 90.00
_cell_angle_beta 90.00
_cell_angle_gamma 120.00
loop_
_space_group_symop_operation_xyz
'x,y,z'
loop_
_atom_site_label
_atom_site_fract_x
_atom_site_fract_y
_atom_site_fract_z
Sm1 0.000 0.334 0.250
Sm2 0.000 0.666 0.750
Sm3 0.333 0.667 0.000
Sm4 0.333 0.667 0.500
Sm5 0.334 0.000 0.250
Sm6 0.334 0.334 0.750
Sm7 0.666 0.000 0.750
Sm8 0.666 0.666 0.250
Sm9 0.667 0.333 0.000
Sm10 0.667 0.333 0.500
Tm1 0.000 0.000 0.000
Tm2 0.000 0.000 0.500
Hg1 0.000 0.330 0.750
Hg2 0.000 0.670 0.250
Hg3 0.330 0.000 0.750
Hg4 0.330 0.330 0.250
Hg5 0.670 0.000 0.250
Hg6 0.670 0.670 0.750
```

***

## SmTmHg (PBE-GGA)

Data for an optimized crystal structure of SmTmHg.

SG = P3m1 (156)
ΔE_f = -4.3 kcal/mol of atoms
DOS(E_F) = 3.7 states/eV/f.u.

Structure (CIF):
```
data_SmTmHg
_chemical_formula_sum 'Sm1 Tm1 Hg1'
_space_group_name_H-M_alt 'P 1'
_space_group_IT_number 1
_cell_length_a 5.124
_cell_length_b 5.124
_cell_length_c 3.799
_cell_angle_alpha 90.00
_cell_angle_beta 90.00
_cell_angle_gamma 120.00
loop_
_space_group_symop_operation_xyz
'x,y,z'
loop_
_atom_site_label
_atom_site_fract_x
_atom_site_fract_y
_atom_site_fract_z
Sm1 0.000 0.000 0.000
Tm1 0.333 0.667 0.525
Hg1 0.667 0.333 0.392
```

***

## Sm6Tm2Hg (PBE-GGA)

Data for an optimized crystal structure of Sm6Tm2Hg.

SG = Cmmm (65)
ΔE_f = 0.9 kcal/mol of atoms
DOS(E_F) = 13.7 states/eV/f.u.

Structure (CIF):
```
data_Sm6Tm2Hg
_chemical_formula_sum 'Sm6 Tm2 Hg1'
_space_group_name_H-M_alt 'P 1'
_space_group_IT_number 1
_cell_length_a 9.911
_cell_length_b 9.911
_cell_length_c 3.575
_cell_angle_alpha 90.00
_cell_angle_beta 90.00
_cell_angle_gamma 123.28
loop_
_space_group_symop_operation_xyz
'x,y,z'
loop_
_atom_site_label
_atom_site_fract_x
_atom_site_fract_y
_atom_site_fract_z
Sm1 0.012 0.339 0.000
Sm2 0.297 0.297 0.500
Sm3 0.339 0.012 0.000
Sm4 0.661 0.988 0.000
Sm5 0.703 0.703 0.500
Sm6 0.988 0.661 0.000
Tm1 0.319 0.681 0.500
Tm2 0.681 0.319 0.500
Hg1 0.000 0.000 0.000
```

***

## SmTm4Hg (PBE-GGA)

Data for an optimized crystal structure of SmTm4Hg.

SG = C2/c (15)
ΔE_f = -1.0 kcal/mol of atoms
DOS(E_F) = 8.0 states/eV/f.u.

Structure (CIF):
```
data_SmTm4Hg
_chemical_formula_sum 'Sm2 Tm8 Hg2'
_space_group_name_H-M_alt 'P 1'
_space_group_IT_number 1
_cell_length_a 8.154
_cell_length_b 8.154
_cell_length_c 6.279
_cell_angle_alpha 99.96
_cell_angle_beta 99.96
_cell_angle_gamma 115.98
loop_
_space_group_symop_operation_xyz
'x,y,z'
loop_
_atom_site_label
_atom_site_fract_x
_atom_site_fract_y
_atom_site_fract_z
Sm1 0.095 0.905 0.750
Sm2 0.905 0.095 0.250
Tm1 0.100 0.338 0.873
Tm2 0.213 0.589 0.456
Tm3 0.338 0.100 0.373
Tm4 0.411 0.787 0.044
Tm5 0.589 0.213 0.956
Tm6 0.662 0.900 0.627
Tm7 0.787 0.411 0.544
Tm8 0.900 0.662 0.127
Hg1 0.500 0.500 0.250
Hg2 0.500 0.500 0.750
```

***

Number 1: calculated volume 141.83 Å³ per cell. Number 2: calculated volume 220.19 Å³ per cell. Number 3: calculated volume 516.22 Å³ per cell. Number 4: calculated volume 86.37 Å³ per cell. Number 5: calculated volume 293.58 Å³ per cell. Number 6: calculated volume 354.76 Å³ per cell.